This record from Alexandria describes crystalline ReOs2 at its relaxed geometry. The functional is PBE.

```
data_ReOs2
_chemical_formula_sum 'Re4 Os8'
_cell_length_a 6.203
_cell_length_b 6.203
_cell_length_c 4.839
_cell_angle_alpha 90.00
_cell_angle_beta 90.00
_cell_angle_gamma 90.00
_symmetry_space_group_name_H-M 'I 4/m c m'
_symmetry_Int_Tables_number 140
_symmetry_space_group_name_Hall '-I 4 2c'
loop_
_atom_site_label
_atom_site_type_symbol
_atom_site_fract_x
_atom_site_fract_y
_atom_site_fract_z
Re1 Re 0.000 0.000 0.250
Os1 Os 0.141 0.359 0.000
```

**Total magnetization**: 0.00 μB/cell
**ΔH_f (0 K)**: 0.417 eV/atom
**Relative energy among the computed polymorphs**: 0.491 eV/atom